Entry 1:
AcPmTmTh: relaxed, PBE.

* ΔH_f (0 K): 0.162 eV per atom
* total magnetization: 0.00 μB/f.u.
* space-group type: F-43m (216)
* mass density: 9.2 g/cm3

a = 5.8307 Å, b = 5.8307 Å, c = 5.8307 Å
α = 60.00°, β = 60.00°, γ = 60.00°
With the nearest neighbours (Å) after each atom.
Fractional coordinates of all 4 atoms:
1 Ac 0.2500 0.2500 0.2500  4 Pm 3.57, 4 Tm 3.57
2 Tm 0.5000 0.5000 0.5000  4 Ac 3.57, 4 Th 3.57
3 Th 0.7500 0.7500 0.7500  4 Pm 3.57, 4 Tm 3.57
4 Pm 0.0000 0.0000 0.0000  4 Th 3.57, 4 Ac 3.57

=====

Entry 2:
AcPm2Ti: relaxed, PBE.

* ΔH_f (0 K): 0.368 eV per atom
* total magnetization: 3.16 μB/f.u.
* space-group type: Fm-3m (225)
* mass density: 7.2 g/cm3

a = 5.6824 Å, b = 5.6824 Å, c = 5.6854 Å
α = 60.02°, β = 60.02°, γ = 60.00°
With the nearest neighbours (Å) after each atom.
Fractional coordinates of all 4 atoms:
1 Ac 0.5000 0.5000 0.5000  8 Pm 3.48
2 Ti 0.0000 0.0000 0.0000  8 Pm 3.48
3 Pm 0.7498 0.7498 0.7505  4 Ti 3.48, 4 Ac 3.48
4 Pm 0.2502 0.2502 0.2495  4 Ti 3.48, 4 Ac 3.48

=====

Entry 3:
Ac2PmTi: relaxed, PBE.

* ΔH_f (0 K): 0.602 eV per atom
* total magnetization: 2.08 μB/f.u.
* space-group type: R-3m (166)
* mass density: 7.4 g/cm3

a = 3.6407 Å, b = 3.6407 Å, c = 12.7568 Å
α = 81.80°, β = 81.80°, γ = 60.00°
With the nearest neighbours (Å) after each atom.
Fractional coordinates of all 4 atoms:
1 Ac 0.0831 0.0831 0.7507  1 Ti 3.14
2 Ac 0.9169 0.9169 0.2493  1 Ti 3.14
3 Ti 0.0000 0.0000 0.0000  2 Ac 3.14
4 Pm 0.5000 0.5000 0.5000  6 Pm 3.64, 6 Ac 3.79